1.
A plane-wave DFT calculation with PBE was carried out for an optimized crystal structure of KTa2Be.

Results
Final energy ... -5.7922 eV/atom
Fermi-level density of states ... 2.9 states/eV per cell
E_form ... 5.36 eV/f.u.

Structure (extended XYZ):
```
4
Lattice="6.091 0.000 0.007 2.655 5.482 -0.007 -3.351 -4.371 2.601" Properties=species:S:1:pos:R:3 pbc="T T T"
Ta 8.385 5.256 0.000
K 1.985 2.018 1.297
Be 4.678 2.932 0.000
Ta 3.466 -0.872 1.304
```

---

2.
A plane-wave DFT calculation with PBE was carried out for an optimized crystal structure of KTa2Be2.

Results
Final energy ... -5.7142 eV/atom
Fermi-level density of states ... 7.6 states/eV per cell
E_form ... 3.68 eV/f.u.

Structure (extended XYZ):
```
10
Lattice="-3.273 -5.048 5.552 1.610 -6.388 -4.860 2.362 -0.274 1.143" Properties=species:S:1:pos:R:3 pbc="T T T"
Be -1.009 -6.466 3.578
Ta 0.172 -7.551 -2.166
Ta -1.887 -8.402 1.883
Be 0.338 -8.825 0.230
Be 1.708 -5.244 -1.742
Ta 0.224 -3.035 -1.191
K 0.000 0.000 0.000
Be 0.361 -2.885 1.606
K -0.831 -5.718 0.346
Ta -1.834 -3.885 2.858
```

---

3.
A plane-wave DFT calculation with PBE was carried out for an optimized crystal structure of K2TaBe.

Results
Final energy ... -3.3064 eV/atom
Fermi-level density of states ... 2.8 states/eV per cell
E_form ... 4.55 eV/f.u.

Structure (extended XYZ):
```
4
Lattice="7.377 0.012 0.002 4.052 6.165 -0.002 -4.625 -5.103 2.642" Properties=species:S:1:pos:R:3 pbc="T T T"
K 0.467 0.252 0.000
Ta 4.902 2.649 0.000
Be 2.977 2.294 1.320
K 4.171 -1.035 1.322
```

---

4.
A plane-wave DFT calculation with PBE was carried out for an optimized crystal structure of KTa3Be.

Results
Final energy ... -6.6277 eV/atom
Fermi-level density of states ... 10.3 states/eV per cell
E_form ... 7.24 eV/f.u.

Structure (extended XYZ):
```
5
Lattice="-3.873 -1.329 -2.221 2.476 -0.733 -3.878 0.757 -4.404 1.316" Properties=species:S:1:pos:R:3 pbc="T T T"
Ta 1.238 -0.367 -1.939
K -0.321 -3.233 -2.391
Be 0.000 0.000 0.000
Ta -1.937 -0.665 -1.111
Ta 0.378 -2.202 0.658
```

---

5.
A plane-wave DFT calculation with PBE was carried out for an optimized crystal structure of KTa2Be.

Results
Final energy ... -5.6575 eV/atom
Fermi-level density of states ... 4.1 states/eV per cell
E_form ... 5.90 eV/f.u.

Structure (extended XYZ):
```
4
Lattice="6.010 -0.019 0.000 -3.308 5.018 0.000 0.000 0.000 2.673" Properties=species:S:1:pos:R:3 pbc="T T T"
Ta 0.000 0.000 0.000
K -1.654 2.509 1.337
Ta 1.351 2.499 0.000
Be 3.005 -0.010 1.337
```

---

6.
A plane-wave DFT calculation with PBE was carried out for an optimized crystal structure of K2TaBe.

Results
Final energy ... -3.6167 eV/atom
Fermi-level density of states ... 2.5 states/eV per cell
E_form ... 3.31 eV/f.u.

Structure (extended XYZ):
```
4
Lattice="3.576 0.000 0.000 0.000 3.106 0.018 0.000 3.204 10.733" Properties=species:S:1:pos:R:3 pbc="T T T"
K 0.000 3.147 9.823
K 1.788 1.640 3.408
Ta 0.000 3.167 6.404
Be 1.788 4.715 7.224
```

---

7.
A plane-wave DFT calculation with PBE was carried out for an optimized crystal structure of KTa2Be.

Results
Final energy ... -5.5353 eV/atom
Fermi-level density of states ... 4.1 states/eV per cell
E_form ... 6.39 eV/f.u.

Structure (extended XYZ):
```
4
Lattice="-0.395 4.381 -0.429 -2.490 -0.547 -3.288 -3.313 -0.052 2.517" Properties=species:S:1:pos:R:3 pbc="T T T"
Ta -2.901 -0.299 -0.386
Be -1.443 1.917 -1.859
Ta 0.000 0.000 0.000
K -1.854 2.164 1.044
```

---

8.
A plane-wave DFT calculation with PBE was carried out for an optimized crystal structure of KTa3Be.

Results
Final energy ... -4.8755 eV/atom
Fermi-level density of states ... 4.4 states/eV per cell
E_form ... 16.00 eV/f.u.

Structure (extended XYZ):
```
5
Lattice="4.574 0.000 0.000 0.000 4.574 0.000 0.000 0.000 4.574" Properties=species:S:1:pos:R:3 pbc="T T T"
Ta 2.287 0.000 0.000
K 0.000 0.000 0.000
Be 2.287 2.287 2.287
Ta 0.000 2.287 0.000
Ta 0.000 0.000 2.287
```

---

9.
A plane-wave DFT calculation with PBE was carried out for an optimized crystal structure of K2TaBe.

Results
Final energy ... -2.6986 eV/atom
Fermi-level density of states ... 6.2 states/eV per cell
E_form ... 6.98 eV/f.u.

Structure (extended XYZ):
```
4
Lattice="5.408 0.000 0.000 2.704 4.684 0.000 2.704 1.561 4.416" Properties=species:S:1:pos:R:3 pbc="T T T"
K 8.113 4.684 3.312
Ta 2.704 1.561 1.104
K 0.000 0.000 0.000
Be 5.408 3.123 2.208
```

---

10.
A plane-wave DFT calculation with PBE was carried out for an optimized crystal structure of KTa2Be.

Results
Final energy ... -5.5339 eV/atom
Fermi-level density of states ... 14.3 states/eV per cell
E_form ... 6.39 eV/f.u.

Structure (extended XYZ):
```
8
Lattice="4.013 0.000 0.000 0.000 4.013 0.000 2.007 2.007 10.235" Properties=species:S:1:pos:R:3 pbc="T T T"
Be 2.007 4.013 5.118
Ta 2.877 3.010 2.559
Be 2.007 2.007 0.000
Ta 3.010 4.884 7.676
Ta 5.017 3.143 7.676
K 4.013 2.007 5.118
Ta 1.136 1.003 2.559
K 0.000 0.000 0.000
```

---

11.
A plane-wave DFT calculation with PBE was carried out for an optimized crystal structure of KTaBe.

Results
Final energy ... -4.0435 eV/atom
Fermi-level density of states ... 3.2 states/eV per cell
E_form ... 4.55 eV/f.u.

Structure (extended XYZ):
```
6
Lattice="-2.442 3.159 0.308 -1.524 -3.700 -0.173 0.510 -0.769 11.915" Properties=species:S:1:pos:R:3 pbc="T T T"
K 0.000 0.000 0.000
Be -1.753 0.296 9.084
Ta -2.009 0.681 3.127
Be -1.702 -1.606 2.966
K 0.255 -0.384 5.958
Ta -1.447 -1.990 8.924
```

---

12.
A plane-wave DFT calculation with PBE was carried out for an optimized crystal structure of K2TaBe.

Results
Final energy ... -3.4292 eV/atom
Fermi-level density of states ... 3.5 states/eV per cell
E_form ... 4.06 eV/f.u.

Structure (extended XYZ):
```
4
Lattice="4.362 -0.004 0.031 3.424 2.704 0.031 0.310 0.108 10.531" Properties=species:S:1:pos:R:3 pbc="T T T"
K 6.091 2.112 7.156
K 7.656 2.654 1.048
Be 2.010 0.697 3.385
Ta 4.173 1.447 4.362
```

---

13.
A plane-wave DFT calculation with PBE was carried out for an optimized crystal structure of K2TaBe.

Results
Final energy ... -3.0890 eV/atom
Fermi-level density of states ... 3.9 states/eV per cell
E_form ... 5.42 eV/f.u.

Structure (extended XYZ):
```
4
Lattice="-6.339 -8.619 6.524 -5.912 -10.285 4.036 -3.790 -10.214 6.191" Properties=species:S:1:pos:R:3 pbc="T T T"
Be -12.031 -21.839 12.563
K -0.055 -0.101 0.058
Ta -4.010 -7.280 4.188
K -7.965 -14.459 8.317
```

---

14.
A plane-wave DFT calculation with PBE was carried out for an optimized crystal structure of KTaBe.

Results
Final energy ... -4.5569 eV/atom
Fermi-level density of states ... 6.1 states/eV per cell
E_form ... 3.01 eV/f.u.

Structure (extended XYZ):
```
6
Lattice="-0.009 -2.212 -3.899 4.431 -0.596 0.328 -1.319 -7.476 4.244" Properties=species:S:1:pos:R:3 pbc="T T T"
Ta 1.656 -3.469 1.964
K 1.131 -6.443 3.652
Be -0.660 -3.738 2.122
Ta -0.764 -5.411 0.494
K -0.239 -2.437 -1.194
Be 1.552 -5.142 0.336
```

---

15.
A plane-wave DFT calculation with PBE was carried out for an optimized crystal structure of KTaBe.

Results
Final energy ... -4.5149 eV/atom
Fermi-level density of states ... 2.8 states/eV per cell
E_form ... 3.13 eV/f.u.

Structure (extended XYZ):
```
3
Lattice="2.961 0.000 0.000 -1.480 2.564 0.000 0.000 0.000 8.167" Properties=species:S:1:pos:R:3 pbc="T T T"
Be 0.000 0.000 7.867
Ta 1.480 0.855 5.886
K 0.000 1.709 2.582
```

---

16.
A plane-wave DFT calculation with PBE was carried out for an optimized crystal structure of K2TaBe.

Results
Final energy ... -2.7600 eV/atom
Fermi-level density of states ... 4.5 states/eV per cell
E_form ... 6.73 eV/f.u.

Structure (extended XYZ):
```
4
Lattice="-0.410 4.088 5.318 1.924 -5.032 4.017 2.590 0.712 -0.348" Properties=species:S:1:pos:R:3 pbc="T T T"
K 0.000 0.000 0.000
K 0.757 -0.472 4.667
Ta 1.090 2.400 2.485
Be 2.257 -2.160 1.834
```

---

17.
A plane-wave DFT calculation with PBE was carried out for an optimized crystal structure of KTa2Be.

Results
Final energy ... -6.4221 eV/atom
Fermi-level density of states ... 5.0 states/eV per cell
E_form ... 2.84 eV/f.u.

Structure (extended XYZ):
```
4
Lattice="2.890 0.000 0.000 0.000 2.890 0.000 0.000 0.000 9.723" Properties=species:S:1:pos:R:3 pbc="T T T"
Be 0.000 0.000 4.322
Ta 0.000 0.000 0.547
Ta 1.445 1.445 2.787
K 1.445 1.445 6.929
```

---

18.
A plane-wave DFT calculation with PBE was carried out for an optimized crystal structure of K3TaBe.

Results
Final energy ... -2.0107 eV/atom
Fermi-level density of states ... 6.0 states/eV per cell
E_form ... 8.82 eV/f.u.

Structure (extended XYZ):
```
5
Lattice="6.136 0.000 0.000 0.000 6.136 0.000 0.000 0.000 6.136" Properties=species:S:1:pos:R:3 pbc="T T T"
Be 0.000 0.000 0.000
K 0.000 0.000 3.068
Ta 3.068 3.068 3.068
K 0.000 3.068 0.000
K 3.068 0.000 0.000
```

---

19.
A plane-wave DFT calculation with PBE was carried out for an optimized crystal structure of KTaBe.

Results
Final energy ... -4.0436 eV/atom
Fermi-level density of states ... 1.7 states/eV per cell
E_form ... 4.55 eV/f.u.

Structure (extended XYZ):
```
3
Lattice="3.467 -2.002 0.000 0.000 4.004 0.000 0.000 0.000 5.976" Properties=species:S:1:pos:R:3 pbc="T T T"
Ta 1.156 2.002 0.000
K 2.311 0.000 2.988
Be 0.000 0.000 0.000
```

---

20.
A plane-wave DFT calculation with PBE was carried out for an optimized crystal structure of KTaBe.

Results
Final energy ... -5.1715 eV/atom
Fermi-level density of states ... 3.6 states/eV per cell
E_form ... 1.16 eV/f.u.

Structure (extended XYZ):
```
6
Lattice="-0.055 3.131 -2.165 1.565 -1.719 -2.526 -10.852 -1.736 -5.561" Properties=species:S:1:pos:R:3 pbc="T T T"
Be -2.613 -1.089 -4.058
Ta -3.748 1.238 -4.012
K -5.568 -1.989 -5.267
Ta -1.142 0.931 -4.521
K -10.125 -0.707 -6.654
Be -2.220 0.127 -2.309
```